Entry 1:
Material: HfSiHg
Method: DFT, GGA-PBE
State: optimized geometry

Lattice parameters (Å, degrees): 4.453 4.453 4.453 60.00 60.00 60.00
Sites, in units of the cell vectors:
Hf 0.250 0.250 0.250
Hg 0.750 0.750 0.750
Si 0.000 0.000 0.000

Calculated values
Excess energy over the best structure of this formula in the dataset (eV per atom): 0.0000

---

Entry 2:
Material: HfSiHg
Method: DFT, GGA-PBE
State: optimized geometry

Lattice parameters (Å, degrees): 4.612 4.612 4.612 60.00 60.00 60.00
Sites, in units of the cell vectors:
Hf 0.000 0.000 0.000
Hg 0.250 0.250 0.250
Si 0.750 0.750 0.750

Calculated values
Excess energy over the best structure of this formula in the dataset (eV per atom): 0.0146

---

Entry 3:
Material: HfSnHg
Method: DFT, GGA-PBE
State: optimized geometry

Lattice parameters (Å, degrees): 4.833 4.833 4.833 60.00 60.00 60.00
Sites, in units of the cell vectors:
Hf 0.000 0.000 0.000
Hg 0.250 0.250 0.250
Sn 0.750 0.750 0.750

Calculated values
Excess energy over the best structure of this formula in the dataset (eV per atom): 0.0000

---

Entry 4:
Material: HfSnHg
Method: DFT, GGA-PBE
State: optimized geometry

Lattice parameters (Å, degrees): 4.772 4.772 4.772 60.00 60.00 60.00
Sites, in units of the cell vectors:
Hf 0.250 0.250 0.250
Hg 0.000 0.000 0.000
Sn 0.750 0.750 0.750

Calculated values
Excess energy over the best structure of this formula in the dataset (eV per atom): 0.2842

---

Entry 5:
Material: Hf2Sn2Hg
Method: DFT, GGA-PBE
State: optimized geometry

Lattice parameters (Å, degrees): 4.804 4.804 6.832 110.58 110.58 90.00
Sites, in units of the cell vectors:
Hf 0.750 0.250 0.500
Hf 0.250 0.750 0.500
Hg 0.000 0.000 0.000
Sn 0.616 0.616 0.232
Sn 0.384 0.384 0.768

Calculated values
Excess energy over the best structure of this formula in the dataset (eV per atom): 0.1032

---

Entry 6:
Material: Hf2Sn2Hg
Method: DFT, GGA-PBE
State: optimized geometry

Lattice parameters (Å, degrees): 4.087 4.087 7.803 105.18 105.18 90.00
Sites, in units of the cell vectors:
Hf 0.598 0.598 0.196
Hf 0.402 0.402 0.804
Hg 0.000 0.000 0.000
Sn 0.750 0.250 0.500
Sn 0.250 0.750 0.500

Calculated values
Excess energy over the best structure of this formula in the dataset (eV per atom): 0.0000

---

Entry 7:
Material: HfSn2Hg
Method: DFT, GGA-PBE
State: optimized geometry

Lattice parameters (Å, degrees): 5.152 5.152 5.152 60.00 60.00 60.00
Sites, in units of the cell vectors:
Hf 0.500 0.500 0.500
Hg 0.750 0.750 0.750
Sn 0.000 0.000 0.000
Sn 0.250 0.250 0.250

Calculated values
E (eV/atom): -4.33

---

Entry 8:
Material: Sr3HfHg2
Method: DFT, GGA-PBE
State: optimized geometry

Lattice parameters (Å, degrees): 3.804 3.804 13.625 90.00 90.00 90.00
Sites, in units of the cell vectors:
Hf 0.500 0.500 0.138
Hg 0.000 0.000 0.046
Hg 0.500 0.500 0.482
Sr 0.000 0.000 0.325
Sr 0.000 0.000 0.629
Sr 0.500 0.500 0.880

Calculated values
E (eV/atom): -2.68